No. 1
A plane-wave DFT calculation with PBE was carried out for a relaxed TaNiOs crystal.

a = 4.194 Å, b = 4.194 Å, c = 4.194 Å
α = 60.00°, β = 60.00°, γ = 60.00°
Sites, in units of the cell vectors:
1 Ni 0.000 0.000 0.000
2 Os 0.500 0.500 0.500
3 Ta 0.750 0.750 0.750

Summary:
D(E_F) (states/eV/cell): 2.897
Energy relative to the lowest polymorph listed for this composition (meV per atom): 763
Spin magnetization (Bohr magnetons per cell): 0.00
Formation enthalpy at 0 K (meV/atom): 420
Symmetry: No. 216
E_tot (eV per atom): -9.201

=====

No. 2
A plane-wave DFT calculation with PBE was carried out for a relaxed Tb6HgTe3As2 crystal.

a = 4.218 Å, b = 8.734 Å, c = 9.627 Å
α = 103.47°, β = 102.66°, γ = 90.00°
Sites, in units of the cell vectors:
1 Tb 0.335 0.896 0.670
2 Tb 0.674 0.567 0.348
3 Tb 0.665 0.104 0.330
4 Tb 0.008 0.248 0.016
5 Tb 0.992 0.752 0.984
6 Tb 0.326 0.433 0.652
7 Hg 0.500 0.000 0.000
8 Te 0.500 0.500 0.000
9 Te 0.834 0.168 0.667
10 Te 0.166 0.832 0.333
11 As 0.832 0.663 0.664
12 As 0.168 0.337 0.336

Summary:
Formation energy from raw total energies (eV per formula unit): -15.41
D(E_F) (states/eV/cell): 5.114
Spin magnetization (Bohr magnetons per cell): 0.00
Symmetry: No. 12
E_tot (eV per atom): -5.185

=====

No. 3
A plane-wave DFT calculation with PBE was carried out for a relaxed Ba2MgHg crystal.

a = 4.246 Å, b = 4.253 Å, c = 9.679 Å
α = 63.90°, β = 90.00°, γ = 90.00°
Sites, in units of the cell vectors:
1 Mg 0.500 0.750 0.750
2 Hg 0.500 0.250 0.250
3 Ba 0.000 0.987 0.014
4 Ba 0.000 0.513 0.486

Summary:
D(E_F) (states/eV/cell): 2.514
Energy relative to the lowest polymorph listed for this composition (meV per atom): 0
Spin magnetization (Bohr magnetons per cell): 0.00
Formation enthalpy at 0 K (meV/atom): -292
Symmetry: No. 123
E_tot (eV per atom): -1.728

=====

No. 4
A plane-wave DFT calculation with PBE was carried out for a relaxed Ac2AsAu3 crystal.

a = 6.245 Å, b = 6.245 Å, c = 9.497 Å
α = 112.80°, β = 112.80°, γ = 79.71°
Sites, in units of the cell vectors:
1 Ac 0.750 0.250 0.500
2 Ac 0.759 0.241 0.000
3 Ac 0.250 0.750 0.500
4 Ac 0.241 0.759 0.000
5 As 0.666 0.666 0.332
6 As 0.334 0.334 0.668
7 Au 0.831 0.831 0.170
8 Au 0.661 0.661 0.830
9 Au 0.169 0.169 0.830
10 Au 0.339 0.339 0.170
11 Au 0.169 0.169 0.337
12 Au 0.831 0.831 0.663

Summary:
D(E_F) (states/eV/cell): 5.351
Spin magnetization (Bohr magnetons per cell): 0.00
Formation enthalpy at 0 K (meV/atom): -926
Symmetry: No. 69
E_tot (eV per atom): -4.709